Entry from Alexandria: crystalline Ta2Ru at its relaxed geometry (GGA-PBEsol).

a = 3.1733 Å, b = 3.1733 Å, c = 9.6370 Å
α = 90.00°, β = 90.00°, γ = 90.00°
Space group I4/mmm (No. 139)
Unique sites:
Ta: 0.0000 0.0000 0.1626 x4
Ru: 0.0000 0.0000 0.5000 x2

## Properties
Final energy: -72.18 eV per cell
Formation enthalpy at 0 K: -273 meV/atom
Theoretical density: 15844 kg/m3
Total magnetization: 0.00 μB/atom

Entry from Alexandria: crystalline BaHfSe2 at its relaxed geometry (GGA-PBEsol).

a = 3.8125 Å, b = 3.8125 Å, c = 28.4244 Å
α = 90.00°, β = 90.00°, γ = 120.00°
Space group R-3m (No. 166, hexagonal axes)
Unique sites:
Ba: 0.0000 0.0000 0.0000 x3
Hf: 0.0000 0.0000 0.5000 x3
Se: 0.0000 0.0000 0.1122 x6

## Properties
Final energy: -73.93 eV per cell
ΔE to the lowest computed polymorph: 0 meV per atom
Theoretical density: 6596 kg/m3
Total magnetization: 0.00 μB/atom
Formation energy without anion corrections: -1073 meV/atom